1.
This record from Alexandria describes a geometry-optimized NaZnCuAs2 structure. The functional is PBE-GGA.

Properties
The energy of formation from the pure elements is -20 kJ per mole of atoms. As for the space group: I-4m2. The calculation puts the total energy at -0.1250 Ha/atom.

a b c (Å): 4.2253 4.2253 6.1689
angles (deg): 110.03 110.03 90.00
Closest atoms and distances in Å follow each position.
Fractional coordinates of all 5 atoms:
Cu: 0.2500 0.7500 0.5000  4 As 2.53
Zn: 0.7500 0.2500 0.5000  4 As 2.53
As: 0.3785 0.3785 0.7570  2 Cu 2.53, 2 Zn 2.53, 1 As 2.62
As: 0.6215 0.6215 0.2430  2 Cu 2.53, 2 Zn 2.53, 1 As 2.62
Na: 0.0000 0.0000 0.0000  8 As 3.26, 4 Cu 3.43, 4 Zn 3.43

2.
This record from Alexandria describes a geometry-optimized Na2ZnCu4As3 structure. The functional is PBE-GGA.

Properties
The energy of formation from the pure elements is -16 kJ per mole of atoms. As for the space group: P-4m2. The calculation puts the total energy at -0.1321 Ha/atom.

a b c (Å): 4.0926 4.0926 10.4279
angles (deg): 90.00 90.00 90.00
Closest atoms and distances in Å follow each position.
Fractional coordinates of all 10 atoms:
Cu: 0.0000 0.5000 0.3615  3 As 2.37-2.50, 2 Zn 2.50
Cu: 0.5000 0.0000 0.6385  3 As 2.37-2.50, 2 Zn 2.50
Cu: 0.5000 0.5000 0.0000  4 As 2.48
Cu: 0.0000 0.0000 0.0000  4 As 2.48
As: 0.5000 0.0000 0.8655  5 Cu 2.37-2.48
As: 0.0000 0.5000 0.1345  5 Cu 2.37-2.48
As: 0.0000 0.0000 0.5000  4 Cu 2.50
Zn: 0.5000 0.5000 0.5000  4 Cu 2.50
Na: 0.0000 0.5000 0.7613  6 As 3.09-3.41, 8 Cu 3.16-3.22, 2 Zn 3.41
Na: 0.5000 0.0000 0.2387  6 As 3.09-3.41, 8 Cu 3.16-3.22, 2 Zn 3.41

3.
This record from Alexandria describes a geometry-optimized NbCu3As structure. The functional is PBE-GGA.

Properties
The energy of formation from the pure elements is 75 kJ per mole of atoms. As for the space group: Pm-3m. The calculation puts the total energy at -0.1699 Ha/atom.

a b c (Å): 4.3971 4.3971 4.3971
angles (deg): 90.00 90.00 90.00
Closest atoms and distances in Å follow each position.
Fractional coordinates of all 5 atoms:
Cu: 0.0000 0.5000 0.0000  2 As 2.20
Cu: 0.5000 0.0000 0.0000  2 As 2.20
Cu: 0.0000 0.0000 0.5000  2 As 2.20
As: 0.0000 0.0000 0.0000  6 Cu 2.20
Nb: 0.5000 0.5000 0.5000  12 Cu 3.11

4.
This record from Alexandria describes a geometry-optimized Nb2CuAs2 structure. The functional is PBE-GGA.

Properties
The energy of formation from the pure elements is -24 kJ per mole of atoms. As for the space group: P4/mbm. The calculation puts the total energy at -0.2556 Ha/atom.

a b c (Å): 7.0354 7.0354 3.3856
angles (deg): 90.00 90.00 90.00
Closest atoms and distances in Å follow each position.
Fractional coordinates of all 10 atoms:
Cu: 0.0000 0.0000 0.0000  4 As 2.68
Cu: 0.5000 0.5000 0.0000  4 As 2.68
As: 0.3496 0.8496 0.0000  6 Nb 2.64-2.69, 2 Cu 2.68
As: 0.8496 0.6504 0.0000  6 Nb 2.64-2.69, 2 Cu 2.68
As: 0.1504 0.3496 0.0000  6 Nb 2.64-2.69, 2 Cu 2.68
As: 0.6504 0.1504 0.0000  6 Nb 2.64-2.69, 2 Cu 2.68
Nb: 0.8541 0.3541 0.5000  6 As 2.64-2.69, 1 Nb 2.90
Nb: 0.6459 0.8541 0.5000  6 As 2.64-2.69, 1 Nb 2.90
Nb: 0.3541 0.1459 0.5000  6 As 2.64-2.69, 1 Nb 2.90
Nb: 0.1459 0.6459 0.5000  6 As 2.64-2.69, 1 Nb 2.90

5.
This record from Alexandria describes a geometry-optimized NbCu2As2 structure. The functional is PBE-GGA.

Properties
The energy of formation from the pure elements is 0 kJ per mole of atoms. As for the space group: P4/mbm. The calculation puts the total energy at -0.2026 Ha/atom.

a b c (Å): 6.8595 6.8595 3.3579
angles (deg): 90.00 90.00 90.00
Closest atoms and distances in Å follow each position.
Fractional coordinates of all 10 atoms:
Cu: 0.3596 0.1404 0.5000  6 As 2.59-2.64, 1 Cu 2.72
Cu: 0.1404 0.6404 0.5000  6 As 2.59-2.64, 1 Cu 2.72
Cu: 0.8596 0.3596 0.5000  6 As 2.59-2.64, 1 Cu 2.72
Cu: 0.6404 0.8596 0.5000  6 As 2.59-2.64, 1 Cu 2.72
As: 0.8431 0.6569 0.0000  6 Cu 2.59-2.64, 2 Nb 2.59
As: 0.6569 0.1569 0.0000  6 Cu 2.59-2.64, 2 Nb 2.59
As: 0.1569 0.3431 0.0000  6 Cu 2.59-2.64, 2 Nb 2.59
As: 0.3431 0.8431 0.0000  6 Cu 2.59-2.64, 2 Nb 2.59
Nb: 0.5000 0.5000 0.0000  4 As 2.59
Nb: 0.0000 0.0000 0.0000  4 As 2.59

6.
This record from Alexandria describes a geometry-optimized Nb2CuAs2 structure. The functional is PBE-GGA.

Properties
The energy of formation from the pure elements is 14 kJ per mole of atoms. As for the space group: I4/mmm. The calculation puts the total energy at -0.2412 Ha/atom.

a b c (Å): 3.6506 3.6506 7.1540
angles (deg): 75.22 75.22 90.00
Closest atoms and distances in Å follow each position.
Fractional coordinates of all 5 atoms:
Nb: 0.6021 0.6021 0.7959  4 As 2.69, 1 Nb 2.72, 4 Cu 2.92
Nb: 0.3979 0.3979 0.2041  4 As 2.69, 1 Nb 2.72, 4 Cu 2.92
As: 0.2500 0.7500 0.5000  4 As 2.58, 4 Nb 2.69
As: 0.7500 0.2500 0.5000  4 As 2.58, 4 Nb 2.69
Cu: 0.0000 0.0000 0.0000  8 Nb 2.92

7.
This record from Alexandria describes a geometry-optimized Nb2CuAs structure. The functional is PBE-GGA.

Properties
The energy of formation from the pure elements is 6 kJ per mole of atoms. As for the space group: I-42d. The calculation puts the total energy at -0.2631 Ha/atom.

a b c (Å): 7.0073 7.0073 5.6901
angles (deg): 51.99 51.99 90.00
Closest atoms and distances in Å follow each position.
Fractional coordinates of all 8 atoms:
Nb: 0.6311 0.1250 0.2500  2 As 2.55, 2 Cu 2.60, 2 Nb 2.80
Nb: 0.1189 0.6250 0.2500  2 As 2.55, 2 Cu 2.60, 2 Nb 2.80
Nb: 0.8750 0.8811 0.7500  2 As 2.55, 2 Cu 2.60, 2 Nb 2.80
Nb: 0.3750 0.3689 0.7500  2 As 2.55, 2 Cu 2.60, 2 Nb 2.80
Cu: 0.5000 0.5000 0.0000  4 Nb 2.60, 2 As 2.80
Cu: 0.2500 0.7500 0.5000  4 Nb 2.60, 2 As 2.80
As: 0.0000 0.0000 0.0000  4 Nb 2.55, 2 Cu 2.80
As: 0.7500 0.2500 0.5000  4 Nb 2.55, 2 Cu 2.80

8.
This record from Alexandria describes a geometry-optimized NbCu2As structure. The functional is PBE-GGA.

Properties
The energy of formation from the pure elements is 13 kJ per mole of atoms. As for the space group: I-42d. The calculation puts the total energy at -0.2057 Ha/atom.

a b c (Å): 7.0168 7.0168 5.5810
angles (deg): 51.05 51.05 90.00
Closest atoms and distances in Å follow each position.
Fractional coordinates of all 8 atoms:
Nb: 0.7500 0.2500 0.5000  2 As 2.56, 4 Cu 2.71
Nb: 0.0000 0.0000 0.0000  2 As 2.56, 4 Cu 2.71
Cu: 0.5959 0.1250 0.2500  2 As 2.43, 2 Cu 2.59, 2 Nb 2.71
Cu: 0.8750 0.8459 0.7500  2 As 2.43, 2 Cu 2.59, 2 Nb 2.71
Cu: 0.3750 0.4041 0.7500  2 As 2.43, 2 Cu 2.59, 2 Nb 2.71
Cu: 0.1541 0.6250 0.2500  2 As 2.43, 2 Cu 2.59, 2 Nb 2.71
As: 0.2500 0.7500 0.5000  4 Cu 2.43, 2 Nb 2.56
As: 0.5000 0.5000 0.0000  4 Cu 2.43, 2 Nb 2.56

9.
This record from Alexandria describes a geometry-optimized Nb2CuAs2 structure. The functional is PBE-GGA.

Properties
The energy of formation from the pure elements is -26 kJ per mole of atoms. As for the space group: P4/mbm. The calculation puts the total energy at -0.2563 Ha/atom.

a b c (Å): 7.1061 7.1061 3.4113
angles (deg): 90.00 90.00 90.00
Closest atoms and distances in Å follow each position.
Fractional coordinates of all 10 atoms:
Cu: 0.5000 0.5000 0.0000  4 Nb 2.72
Cu: 0.0000 0.0000 0.0000  4 Nb 2.72
As: 0.6491 0.8509 0.5000  6 Nb 2.67-2.70
As: 0.8509 0.3509 0.5000  6 Nb 2.67-2.70
As: 0.3509 0.1491 0.5000  6 Nb 2.67-2.70
As: 0.1491 0.6491 0.5000  6 Nb 2.67-2.70
Nb: 0.8537 0.6463 0.0000  6 As 2.67-2.70, 2 Cu 2.72, 1 Nb 2.94
Nb: 0.6463 0.1463 0.0000  6 As 2.67-2.70, 2 Cu 2.72, 1 Nb 2.94
Nb: 0.1463 0.3537 0.0000  6 As 2.67-2.70, 2 Cu 2.72, 1 Nb 2.94
Nb: 0.3537 0.8537 0.0000  6 As 2.67-2.70, 2 Cu 2.72, 1 Nb 2.94

10.
This record from Alexandria describes a geometry-optimized NbCu3As structure. The functional is PBE-GGA.

Properties
The energy of formation from the pure elements is 149 kJ per mole of atoms. As for the space group: Pm-3m. The calculation puts the total energy at -0.1419 Ha/atom.

a b c (Å): 4.7481 4.7481 4.7481
angles (deg): 90.00 90.00 90.00
Closest atoms and distances in Å follow each position.
Fractional coordinates of all 5 atoms:
Cu: 0.5000 0.0000 0.0000  2 Nb 2.37
Cu: 0.0000 0.5000 0.0000  2 Nb 2.37
Cu: 0.0000 0.0000 0.5000  2 Nb 2.37
As: 0.5000 0.5000 0.5000  12 Cu 3.36
Nb: 0.0000 0.0000 0.0000  6 Cu 2.37

11.
This record from Alexandria describes a geometry-optimized NbCuAs2Pt structure. The functional is PBE-GGA.

Properties
The energy of formation from the pure elements is 71 kJ per mole of atoms. As for the space group: P4/mmm. The calculation puts the total energy at -0.1900 Ha/atom.

a b c (Å): 4.5320 4.6198 4.5320
angles (deg): 90.00 90.00 90.00
Closest atoms and distances in Å follow each position.
Fractional coordinates of all 5 atoms:
Nb: 0.5000 0.5000 0.5000  4 Pt 3.20, 8 As 3.24
Pt: 0.0000 0.5000 0.0000  2 Cu 2.31
Cu: 0.0000 0.0000 0.0000  4 As 2.27, 2 Pt 2.31
As: 0.5000 0.0000 0.0000  2 Cu 2.27
As: 0.0000 0.0000 0.5000  2 Cu 2.27

12.
This record from Alexandria describes a geometry-optimized ScNbCuAs2 structure. The functional is PBE-GGA.

Properties
The energy of formation from the pure elements is 53 kJ per mole of atoms. As for the space group: P4/mmm. The calculation puts the total energy at -0.1987 Ha/atom.

a b c (Å): 4.9431 5.1387 4.9431
angles (deg): 90.00 90.00 90.00
Closest atoms and distances in Å follow each position.
Fractional coordinates of all 5 atoms:
Cu: 0.5000 0.5000 0.5000  4 Sc 3.50, 8 As 3.57
Nb: 0.0000 0.0000 0.0000  4 As 2.47, 2 Sc 2.57
As: 0.5000 0.0000 0.0000  2 Nb 2.47
As: 0.0000 0.0000 0.5000  2 Nb 2.47
Sc: 0.0000 0.5000 0.0000  2 Nb 2.57

13.
This record from Alexandria describes a geometry-optimized SrNbCuAs2 structure. The functional is PBE-GGA.

Properties
The energy of formation from the pure elements is 155 kJ per mole of atoms. As for the space group: P4/mmm. The calculation puts the total energy at -0.1257 Ha/atom.

a b c (Å): 5.3230 4.7818 5.3230
angles (deg): 90.00 90.00 90.00
Closest atoms and distances in Å follow each position.
Fractional coordinates of all 5 atoms:
Nb: 0.5000 0.5000 0.5000  8 As 3.58, 4 Cu 3.76
Sr: 0.0000 0.0000 0.0000  2 Cu 2.39, 4 As 2.66
As: 0.0000 0.0000 0.5000  2 Sr 2.66
As: 0.5000 0.0000 0.0000  2 Sr 2.66
Cu: 0.0000 0.5000 0.0000  2 Sr 2.39